(1)
# LiAcFe, optimized geometry, DFT PBE
# - magnetization (Bohr magnetons per cell) = 2.000
# - crystal system = cubic
# - raw total energy (eV/atom) = -3.76
# - energy relative to the lowest polymorph listed for this composition (kJ per mole of atoms) = 40.14
data_LiAcFe
_space_group_name_H-M_alt 'P 1'
_space_group_IT_number 1
_space_group_name_Hall 'P 1'
_cell_length_a 4.8781
_cell_length_b 4.8781
_cell_length_c 4.8781
_cell_angle_alpha 60.00
_cell_angle_beta 60.00
_cell_angle_gamma 60.00
loop_
_atom_site_label
_atom_site_type_symbol
_atom_site_fract_x
_atom_site_fract_y
_atom_site_fract_z
Li1 Li 0.0000 0.0000 0.0000
Ac1 Ac 0.7500 0.7500 0.7500
Fe1 Fe 0.5000 0.5000 0.5000


(2)
# AcFeMo, optimized geometry, DFT PBE
# - formation enthalpy at 0 K (kJ/mol of formula units) = 287
# - magnetization (Bohr magnetons per cell) = 2.380
# - crystal system = cubic
# - raw total energy (eV/atom) = -6.76
data_AcFeMo
_space_group_name_H-M_alt 'P 1'
_space_group_IT_number 1
_space_group_name_Hall 'P 1'
_cell_length_a 4.5707
_cell_length_b 4.5707
_cell_length_c 4.5707
_cell_angle_alpha 60.00
_cell_angle_beta 60.00
_cell_angle_gamma 60.00
loop_
_atom_site_label
_atom_site_type_symbol
_atom_site_fract_x
_atom_site_fract_y
_atom_site_fract_z
Ac1 Ac 0.0000 0.0000 0.0000
Fe1 Fe 0.7500 0.7500 0.7500
Mo1 Mo 0.5000 0.5000 0.5000


(3)
# NaAcFe, optimized geometry, DFT PBE
# - magnetization (Bohr magnetons per cell) = 2.001
# - crystal system = cubic
# - raw total energy (eV/atom) = -3.84
data_NaAcFe
_space_group_name_H-M_alt 'P 1'
_space_group_IT_number 1
_space_group_name_Hall 'P 1'
_cell_length_a 5.0443
_cell_length_b 5.0443
_cell_length_c 5.0443
_cell_angle_alpha 60.00
_cell_angle_beta 60.00
_cell_angle_gamma 60.00
loop_
_atom_site_label
_atom_site_type_symbol
_atom_site_fract_x
_atom_site_fract_y
_atom_site_fract_z
Na1 Na 0.0000 0.0000 0.0000
Ac1 Ac 0.5000 0.5000 0.5000
Fe1 Fe 0.7500 0.7500 0.7500


(4)
# AcPmFe, optimized geometry, DFT PBE
# - formation enthalpy at 0 K (kJ/mol of formula units) = 90
# - magnetization (Bohr magnetons per cell) = 0.412
# - crystal system = cubic
# - raw total energy (eV/atom) = -5.41
data_AcPmFe
_space_group_name_H-M_alt 'P 1'
_space_group_IT_number 1
_space_group_name_Hall 'P 1'
_cell_length_a 4.9557
_cell_length_b 4.9557
_cell_length_c 4.9557
_cell_angle_alpha 60.00
_cell_angle_beta 60.00
_cell_angle_gamma 60.00
loop_
_atom_site_label
_atom_site_type_symbol
_atom_site_fract_x
_atom_site_fract_y
_atom_site_fract_z
Ac1 Ac 0.0000 0.0000 0.0000
Pm1 Pm 0.5000 0.5000 0.5000
Fe1 Fe 0.2500 0.2500 0.2500


(5)
# AcPm2Fe, optimized geometry, DFT PBE
# - formation enthalpy at 0 K (kJ/mol of formula units) = 367
# - magnetization (Bohr magnetons per cell) = 2.648
# - crystal system = tetragonal
# - raw total energy (eV/atom) = -4.53
data_AcPm2Fe
_space_group_name_H-M_alt 'P 1'
_space_group_IT_number 1
_space_group_name_Hall 'P 1'
_cell_length_a 4.4009
_cell_length_b 4.4009
_cell_length_c 6.2848
_cell_angle_alpha 90.00
_cell_angle_beta 90.00
_cell_angle_gamma 90.00
loop_
_atom_site_label
_atom_site_type_symbol
_atom_site_fract_x
_atom_site_fract_y
_atom_site_fract_z
Ac1 Ac 0.0000 0.0000 0.0000
Pm1 Pm 0.0000 0.0000 0.5000
Pm2 Pm 0.5000 0.5000 0.0000
Fe1 Fe 0.5000 0.5000 0.5000


(6)
# AcPuFe, optimized geometry, DFT PBE
# - formation enthalpy at 0 K (kJ/mol of formula units) = 502
# - magnetization (Bohr magnetons per cell) = 0.050
# - crystal system = cubic
# - raw total energy (eV/atom) = -7.11
# - energy relative to the lowest polymorph listed for this composition (kJ per mole of atoms) = 75.32
data_AcPuFe
_space_group_name_H-M_alt 'P 1'
_space_group_IT_number 1
_space_group_name_Hall 'P 1'
_cell_length_a 4.5614
_cell_length_b 4.5614
_cell_length_c 4.5614
_cell_angle_alpha 60.00
_cell_angle_beta 60.00
_cell_angle_gamma 60.00
loop_
_atom_site_label
_atom_site_type_symbol
_atom_site_fract_x
_atom_site_fract_y
_atom_site_fract_z
Ac1 Ac 0.0000 0.0000 0.0000
Pu1 Pu 0.2500 0.2500 0.2500
Fe1 Fe 0.7500 0.7500 0.7500


(7)
# AcPuFe, optimized geometry, DFT PBE
# - formation enthalpy at 0 K (kJ/mol of formula units) = 276
# - magnetization (Bohr magnetons per cell) = 4.158
# - crystal system = cubic
# - raw total energy (eV/atom) = -7.89
# - energy relative to the lowest polymorph listed for this composition (kJ per mole of atoms) = 0.00
data_AcPuFe
_space_group_name_H-M_alt 'P 1'
_space_group_IT_number 1
_space_group_name_Hall 'P 1'
_cell_length_a 4.5850
_cell_length_b 4.5850
_cell_length_c 4.5850
_cell_angle_alpha 60.00
_cell_angle_beta 60.00
_cell_angle_gamma 60.00
loop_
_atom_site_label
_atom_site_type_symbol
_atom_site_fract_x
_atom_site_fract_y
_atom_site_fract_z
Ac1 Ac 0.0000 0.0000 0.0000
Pu1 Pu 0.2500 0.2500 0.2500
Fe1 Fe 0.5000 0.5000 0.5000


(8)
# AcFeSb, optimized geometry, DFT PBE
# - magnetization (Bohr magnetons per cell) = 2.002
# - crystal system = cubic
# - raw total energy (eV/atom) = -5.75
# - energy relative to the lowest polymorph listed for this composition (kJ per mole of atoms) = 0.00
data_AcFeSb
_space_group_name_H-M_alt 'P 1'
_space_group_IT_number 1
_space_group_name_Hall 'P 1'
_cell_length_a 4.8117
_cell_length_b 4.8117
_cell_length_c 4.8117
_cell_angle_alpha 60.00
_cell_angle_beta 60.00
_cell_angle_gamma 60.00
loop_
_atom_site_label
_atom_site_type_symbol
_atom_site_fract_x
_atom_site_fract_y
_atom_site_fract_z
Ac1 Ac 0.0000 0.0000 0.0000
Fe1 Fe 0.7500 0.7500 0.7500
Sb1 Sb 0.5000 0.5000 0.5000


(9)
# AcFeSb, optimized geometry, DFT PBE
# - magnetization (Bohr magnetons per cell) = 3.244
# - crystal system = cubic
# - raw total energy (eV/atom) = -4.98
# - energy relative to the lowest polymorph listed for this composition (kJ per mole of atoms) = 73.91
data_AcFeSb
_space_group_name_H-M_alt 'P 1'
_space_group_IT_number 1
_space_group_name_Hall 'P 1'
_cell_length_a 5.1760
_cell_length_b 5.1760
_cell_length_c 5.1760
_cell_angle_alpha 60.00
_cell_angle_beta 60.00
_cell_angle_gamma 60.00
loop_
_atom_site_label
_atom_site_type_symbol
_atom_site_fract_x
_atom_site_fract_y
_atom_site_fract_z
Ac1 Ac 0.0000 0.0000 0.0000
Fe1 Fe 0.7500 0.7500 0.7500
Sb1 Sb 0.2500 0.2500 0.2500


(10)
# AcScFe, optimized geometry, DFT PBE
# - formation enthalpy at 0 K (kJ/mol of formula units) = 86
# - magnetization (Bohr magnetons per cell) = 0.162
# - crystal system = cubic
# - raw total energy (eV/atom) = -5.95
# - energy relative to the lowest polymorph listed for this composition (kJ per mole of atoms) = 0.00
data_AcScFe
_space_group_name_H-M_alt 'P 1'
_space_group_IT_number 1
_space_group_name_Hall 'P 1'
_cell_length_a 4.7326
_cell_length_b 4.7326
_cell_length_c 4.7326
_cell_angle_alpha 60.00
_cell_angle_beta 60.00
_cell_angle_gamma 60.00
loop_
_atom_site_label
_atom_site_type_symbol
_atom_site_fract_x
_atom_site_fract_y
_atom_site_fract_z
Ac1 Ac 0.0000 0.0000 0.0000
Sc1 Sc 0.5000 0.5000 0.5000
Fe1 Fe 0.7500 0.7500 0.7500


(11)
# AcSmFe, optimized geometry, DFT PBE
# - formation enthalpy at 0 K (kJ/mol of formula units) = 89
# - magnetization (Bohr magnetons per cell) = 0.379
# - crystal system = cubic
# - raw total energy (eV/atom) = -5.40
# - energy relative to the lowest polymorph listed for this composition (kJ per mole of atoms) = 0.00
data_AcSmFe
_space_group_name_H-M_alt 'P 1'
_space_group_IT_number 1
_space_group_name_Hall 'P 1'
_cell_length_a 4.9290
_cell_length_b 4.9290
_cell_length_c 4.9290
_cell_angle_alpha 60.00
_cell_angle_beta 60.00
_cell_angle_gamma 60.00
loop_
_atom_site_label
_atom_site_type_symbol
_atom_site_fract_x
_atom_site_fract_y
_atom_site_fract_z
Ac1 Ac 0.0000 0.0000 0.0000
Sm1 Sm 0.5000 0.5000 0.5000
Fe1 Fe 0.7500 0.7500 0.7500


(12)
# AcTaFe, optimized geometry, DFT PBE
# - formation enthalpy at 0 K (kJ/mol of formula units) = 245
# - magnetization (Bohr magnetons per cell) = 0.680
# - crystal system = cubic
# - raw total energy (eV/atom) = -7.24
# - energy relative to the lowest polymorph listed for this composition (kJ per mole of atoms) = 0.00
data_AcTaFe
_space_group_name_H-M_alt 'P 1'
_space_group_IT_number 1
_space_group_name_Hall 'P 1'
_cell_length_a 4.6299
_cell_length_b 4.6299
_cell_length_c 4.6299
_cell_angle_alpha 60.00
_cell_angle_beta 60.00
_cell_angle_gamma 60.00
loop_
_atom_site_label
_atom_site_type_symbol
_atom_site_fract_x
_atom_site_fract_y
_atom_site_fract_z
Ac1 Ac 0.0000 0.0000 0.0000
Ta1 Ta 0.5000 0.5000 0.5000
Fe1 Fe 0.7500 0.7500 0.7500


(13)
# AcTlFe, optimized geometry, DFT PBE
# - magnetization (Bohr magnetons per cell) = 2.064
# - crystal system = cubic
# - raw total energy (eV/atom) = -4.60
# - energy relative to the lowest polymorph listed for this composition (kJ per mole of atoms) = 0.00
data_AcTlFe
_space_group_name_H-M_alt 'P 1'
_space_group_IT_number 1
_space_group_name_Hall 'P 1'
_cell_length_a 4.9507
_cell_length_b 4.9507
_cell_length_c 4.9507
_cell_angle_alpha 60.00
_cell_angle_beta 60.00
_cell_angle_gamma 60.00
loop_
_atom_site_label
_atom_site_type_symbol
_atom_site_fract_x
_atom_site_fract_y
_atom_site_fract_z
Ac1 Ac 0.0000 0.0000 0.0000
Tl1 Tl 0.5000 0.5000 0.5000
Fe1 Fe 0.2500 0.2500 0.2500


(14)
# AcTlFe, optimized geometry, DFT PBE
# - magnetization (Bohr magnetons per cell) = 2.603
# - crystal system = cubic
# - raw total energy (eV/atom) = -4.05
# - energy relative to the lowest polymorph listed for this composition (kJ per mole of atoms) = 53.69
data_AcTlFe
_space_group_name_H-M_alt 'P 1'
_space_group_IT_number 1
_space_group_name_Hall 'P 1'
_cell_length_a 5.2807
_cell_length_b 5.2807
_cell_length_c 5.2807
_cell_angle_alpha 60.00
_cell_angle_beta 60.00
_cell_angle_gamma 60.00
loop_
_atom_site_label
_atom_site_type_symbol
_atom_site_fract_x
_atom_site_fract_y
_atom_site_fract_z
Ac1 Ac 0.0000 0.0000 0.0000
Tl1 Tl 0.2500 0.2500 0.2500
Fe1 Fe 0.7500 0.7500 0.7500


(15)
# AcFeW, optimized geometry, DFT PBE
# - formation enthalpy at 0 K (kJ/mol of formula units) = 340
# - magnetization (Bohr magnetons per cell) = 2.310
# - crystal system = cubic
# - raw total energy (eV/atom) = -7.28
data_AcFeW
_space_group_name_H-M_alt 'P 1'
_space_group_IT_number 1
_space_group_name_Hall 'P 1'
_cell_length_a 4.5957
_cell_length_b 4.5957
_cell_length_c 4.5957
_cell_angle_alpha 60.00
_cell_angle_beta 60.00
_cell_angle_gamma 60.00
loop_
_atom_site_label
_atom_site_type_symbol
_atom_site_fract_x
_atom_site_fract_y
_atom_site_fract_z
Ac1 Ac 0.0000 0.0000 0.0000
Fe1 Fe 0.2500 0.2500 0.2500
W1 W 0.5000 0.5000 0.5000


(16)
# AcYFe, optimized geometry, DFT PBE
# - formation enthalpy at 0 K (kJ/mol of formula units) = 89
# - magnetization (Bohr magnetons per cell) = 0.275
# - crystal system = cubic
# - raw total energy (eV/atom) = -5.99
data_AcYFe
_space_group_name_H-M_alt 'P 1'
_space_group_IT_number 1
_space_group_name_Hall 'P 1'
_cell_length_a 4.9067
_cell_length_b 4.9067
_cell_length_c 4.9067
_cell_angle_alpha 60.00
_cell_angle_beta 60.00
_cell_angle_gamma 60.00
loop_
_atom_site_label
_atom_site_type_symbol
_atom_site_fract_x
_atom_site_fract_y
_atom_site_fract_z
Ac1 Ac 0.0000 0.0000 0.0000
Y1 Y 0.5000 0.5000 0.5000
Fe1 Fe 0.7500 0.7500 0.7500


(17)
# AcZnFe, optimized geometry, DFT PBE
# - formation enthalpy at 0 K (kJ/mol of formula units) = 108
# - magnetization (Bohr magnetons per cell) = 1.246
# - crystal system = cubic
# - raw total energy (eV/atom) = -4.19
# - energy relative to the lowest polymorph listed for this composition (kJ per mole of atoms) = 0.00
data_AcZnFe
_space_group_name_H-M_alt 'P 1'
_space_group_IT_number 1
_space_group_name_Hall 'P 1'
_cell_length_a 4.6447
_cell_length_b 4.6447
_cell_length_c 4.6447
_cell_angle_alpha 60.00
_cell_angle_beta 60.00
_cell_angle_gamma 60.00
loop_
_atom_site_label
_atom_site_type_symbol
_atom_site_fract_x
_atom_site_fract_y
_atom_site_fract_z
Ac1 Ac 0.0000 0.0000 0.0000
Zn1 Zn 0.5000 0.5000 0.5000
Fe1 Fe 0.2500 0.2500 0.2500


(18)
# AcGaHg, optimized geometry, DFT PBE
# - magnetization (Bohr magnetons per cell) = 0.005
# - crystal system = cubic
# - raw total energy (eV/atom) = -2.53
# - energy relative to the lowest polymorph listed for this composition (kJ per mole of atoms) = 28.89
data_AcGaHg
_space_group_name_H-M_alt 'P 1'
_space_group_IT_number 1
_space_group_name_Hall 'P 1'
_cell_length_a 5.2808
_cell_length_b 5.2808
_cell_length_c 5.2808
_cell_angle_alpha 60.00
_cell_angle_beta 60.00
_cell_angle_gamma 60.00
loop_
_atom_site_label
_atom_site_type_symbol
_atom_site_fract_x
_atom_site_fract_y
_atom_site_fract_z
Ac1 Ac 0.0000 0.0000 0.0000
Ga1 Ga 0.7500 0.7500 0.7500
Hg1 Hg 0.2500 0.2500 0.2500


(19)
# AcGaHg, optimized geometry, DFT PBE
# - magnetization (Bohr magnetons per cell) = 0.000
# - crystal system = cubic
# - raw total energy (eV/atom) = -2.83
# - energy relative to the lowest polymorph listed for this composition (kJ per mole of atoms) = 0.00
data_AcGaHg
_space_group_name_H-M_alt 'P 1'
_space_group_IT_number 1
_space_group_name_Hall 'P 1'
_cell_length_a 5.0990
_cell_length_b 5.0990
_cell_length_c 5.0990
_cell_angle_alpha 60.00
_cell_angle_beta 60.00
_cell_angle_gamma 60.00
loop_
_atom_site_label
_atom_site_type_symbol
_atom_site_fract_x
_atom_site_fract_y
_atom_site_fract_z
Ac1 Ac 0.0000 0.0000 0.0000
Ga1 Ga 0.5000 0.5000 0.5000
Hg1 Hg 0.2500 0.2500 0.2500


(20)
# AcHoGa4, optimized geometry, DFT PBE
# - magnetization (Bohr magnetons per cell) = 0.005
# - crystal system = hexagonal
# - raw total energy (eV/atom) = -4.09
data_AcHoGa4
_space_group_name_H-M_alt 'P 1'
_space_group_IT_number 1
_space_group_name_Hall 'P 1'
_cell_length_a 4.2906
_cell_length_b 4.2906
_cell_length_c 8.7821
_cell_angle_alpha 90.00
_cell_angle_beta 90.00
_cell_angle_gamma 120.00
loop_
_atom_site_label
_atom_site_type_symbol
_atom_site_fract_x
_atom_site_fract_y
_atom_site_fract_z
Ac1 Ac 0.0000 0.0000 0.0000
Ho1 Ho 0.0000 0.0000 0.5000
Ga1 Ga 0.3333 0.6667 0.2736
Ga2 Ga 0.3333 0.6667 0.7264
Ga3 Ga 0.6667 0.3333 0.2736
Ga4 Ga 0.6667 0.3333 0.7264